This record from the Alexandria database describes a PBEsol-optimized structure of YMnCl2. The functional is SCAN.

```
YMnCl2
1.0
-1.048 -1.659 2.911
4.214 -1.264 0.796
1.331 5.861 1.702
Mn Y Cl
1 1 2
Cartesian
-0.524 -0.829 1.456 Mn
2.107 -0.632 0.398 Y
2.826 -0.198 3.021 Cl
1.672 3.136 2.388 Cl
```

Computed properties:
Crystal system: monoclinic
Energy relative to the lowest polymorph listed for this composition, meV per atom: 68
Energy relative to the elements, uncorrected, meV/atom: -1030
DOS at the Fermi energy, states/eV per atom: 0.570
Total magnetic moment, μB/atom: 0.607